VASP calculation (GGA-PBE) on a geometry-optimized ZrGaAu structure.

The calculation puts the calculated volume at 58.2 Å³/f.u. For the size of the total moment, the calculation gives 0.7 Bohr magnetons per cell. The value obtained for the formation energy is -0.414 eV per atom.

Cell: 4.053 4.053 7.079 Å, 90.00 90.00 90.00°
Site moments in Bohr magnetons follow the coordinates.
Fractional coordinates of all 6 atoms:
1 Au 0.000 0.500 0.758  0.03
2 Au 0.500 0.000 0.242  0.03
3 Ga 0.000 0.000 0.500  -0.01
4 Ga 0.500 0.500 0.500  -0.01
5 Zr 0.000 0.500 0.152  0.19
6 Zr 0.500 0.000 0.848  0.19